This record from Alexandria describes a crystal of Mn3Rh2 relaxed with PBEsol. The functional is meta-GGA SCAN.

Unit cell a=4.128 b=4.128 c=5.083 alpha=90.00 beta=90.00 gamma=120.00
Fractional positions:
1 Mn 0.000 0.000 0.000
2 Mn 0.333 0.667 0.356
3 Mn 0.667 0.333 0.644
4 Rh 0.333 0.667 0.844
5 Rh 0.667 0.333 0.156

Summary:
- raw total energy (eV per atom) = -24.628
- DFT formation energy (meV/atom) = -166

This record from Alexandria describes a crystal of Y2ScRhS relaxed with PBEsol. The functional is meta-GGA SCAN.

Unit cell a=5.290 b=5.290 c=4.461 alpha=90.00 beta=90.00 gamma=90.00
Fractional positions:
1 Y 0.000 0.500 0.000
2 Y 0.500 0.000 0.000
3 Sc 0.000 0.000 0.500
4 Rh 0.500 0.500 0.000
5 S 0.500 0.500 0.500

Summary:
- raw total energy (eV per atom) = -22.847
- formation energy from raw total energies (meV per atom) = -183

This record from Alexandria describes a crystal of NdTaO4 relaxed with PBEsol. The functional is meta-GGA SCAN.

Unit cell a=7.570 b=5.450 c=7.691 alpha=90.00 beta=99.64 gamma=90.00
Fractional positions:
1 Nd 0.151 0.223 0.398
2 Nd 0.151 0.277 0.898
3 Nd 0.849 0.723 0.102
4 Nd 0.849 0.777 0.602
5 Ta 0.335 0.730 0.195
6 Ta 0.335 0.770 0.695
7 Ta 0.665 0.230 0.305
8 Ta 0.665 0.270 0.805
9 O 0.116 0.511 0.168
10 O 0.116 0.989 0.668
11 O 0.166 0.510 0.629
12 O 0.166 0.990 0.129
13 O 0.334 0.647 0.943
14 O 0.334 0.853 0.443
15 O 0.439 0.093 0.802
16 O 0.439 0.407 0.302
17 O 0.561 0.593 0.698
18 O 0.561 0.907 0.198
19 O 0.666 0.147 0.557
20 O 0.666 0.353 0.057
21 O 0.834 0.010 0.871
22 O 0.834 0.490 0.371
23 O 0.884 0.011 0.332
24 O 0.884 0.489 0.832

Summary:
- raw total energy (eV per atom) = -25.996
- formation energy from raw total energies (meV per atom) = -3481

This record from Alexandria describes a crystal of YHg2AsO relaxed with PBEsol. The functional is meta-GGA SCAN.

Unit cell a=4.739 b=4.739 c=4.483 alpha=90.00 beta=90.00 gamma=90.00
Fractional positions:
1 Y 0.000 0.000 0.000
2 Hg 0.000 0.500 0.500
3 Hg 0.500 0.000 0.500
4 As 0.500 0.500 0.000
5 O 0.500 0.500 0.500

Summary:
- raw total energy (eV per atom) = -38.295
- formation energy from raw total energies (meV per atom) = -175

This record from Alexandria describes a crystal of BaIn2Mo relaxed with PBEsol. The functional is meta-GGA SCAN.

Unit cell a=4.629 b=4.629 c=4.925 alpha=90.00 beta=90.00 gamma=90.00
Fractional positions:
1 Ba 0.000 0.000 0.000
2 In 0.000 0.500 0.500
3 In 0.500 0.000 0.500
4 Mo 0.500 0.500 0.000

Summary:
- raw total energy (eV per atom) = -34.744
- ΔE to the lowest computed polymorph (meV/atom) = 132
- DFT formation energy (meV/atom) = 558

This record from Alexandria describes a crystal of LiZrSe2 relaxed with PBEsol. The functional is meta-GGA SCAN.

Unit cell a=6.964 b=6.964 c=6.964 alpha=151.31 beta=150.06 gamma=41.95
Fractional positions:
1 Li 0.000 0.000 0.000
2 Zr 0.274 0.774 0.500
3 Se 0.429 0.429 0.000
4 Se 0.684 0.184 0.500

Summary:
- raw total energy (eV per atom) = -19.672
- formation energy from raw total energies (meV per atom) = -1361

This record from Alexandria describes a crystal of LuRh3 relaxed with PBEsol. The functional is meta-GGA SCAN.

Unit cell a=3.934 b=3.934 c=3.934 alpha=90.00 beta=90.00 gamma=90.00
Fractional positions:
1 Lu 0.000 0.000 0.000
2 Rh 0.000 0.500 0.500
3 Rh 0.500 0.000 0.500
4 Rh 0.500 0.500 0.000

Summary:
- raw total energy (eV per atom) = -39.852
- DFT formation energy (meV/atom) = -687

This record from Alexandria describes a crystal of MgCu3Se relaxed with PBEsol. The functional is meta-GGA SCAN.

Unit cell a=4.543 b=4.543 c=4.543 alpha=90.00 beta=90.00 gamma=90.00
Fractional positions:
1 Mg 0.000 0.000 0.000
2 Cu 0.000 0.500 0.500
3 Cu 0.500 0.000 0.500
4 Cu 0.500 0.500 0.000
5 Se 0.500 0.500 0.500

Summary:
- raw total energy (eV per atom) = -13.610
- formation energy from raw total energies (meV per atom) = 520

This record from Alexandria describes a crystal of Li2OsC relaxed with PBEsol. The functional is meta-GGA SCAN.

Unit cell a=5.131 b=5.131 c=5.131 alpha=98.46 beta=98.46 gamma=134.90
Fractional positions:
1 Li 0.048 0.625 0.923
2 Li 0.375 0.298 0.423
3 Li 0.702 0.125 0.077
4 Li 0.875 0.952 0.577
5 Os 0.250 0.750 0.500
6 Os 0.500 0.500 0.000
7 C 0.000 0.000 0.000
8 C 0.750 0.250 0.500

Summary:
- raw total energy (eV per atom) = -21.170
- DFT formation energy (meV/atom) = 520

This record from Alexandria describes a crystal of LiHg2Ru relaxed with PBEsol. The functional is meta-GGA SCAN.

Unit cell a=5.287 b=5.287 c=4.734 alpha=107.48 beta=107.48 gamma=32.66
Fractional positions:
1 Li 0.000 0.000 0.000
2 Hg 0.512 0.512 0.527
3 Hg 0.753 0.753 0.112
4 Ru 0.254 0.254 0.610

Summary:
- raw total energy (eV per atom) = -43.271
- ΔE to the lowest computed polymorph (meV/atom) = 88
- DFT formation energy (meV/atom) = 116

This record from Alexandria describes a crystal of Na3SrSn relaxed with PBEsol. The functional is meta-GGA SCAN.

Unit cell a=6.060 b=6.060 c=6.060 alpha=90.00 beta=90.00 gamma=90.00
Fractional positions:
1 Na 0.000 0.000 0.500
2 Na 0.000 0.500 0.000
3 Na 0.500 0.000 0.000
4 Sr 0.000 0.000 0.000
5 Sn 0.500 0.500 0.500

Summary:
- raw total energy (eV per atom) = -13.333
- ΔE to the lowest computed polymorph (meV/atom) = 814
- DFT formation energy (meV/atom) = 835

This record from Alexandria describes a crystal of RbAlIN2 relaxed with PBEsol. The functional is meta-GGA SCAN.

Unit cell a=4.291 b=4.291 c=5.588 alpha=90.00 beta=90.00 gamma=90.00
Fractional positions:
1 Rb 0.000 0.000 0.000
2 Al 0.500 0.500 0.500
3 I 0.500 0.500 0.000
4 N 0.000 0.500 0.500
5 N 0.500 0.000 0.500

Summary:
- raw total energy (eV per atom) = -16.269
- formation energy from raw total energies (meV per atom) = 494

This record from Alexandria describes a crystal of LiYIr2 relaxed with PBEsol. The functional is meta-GGA SCAN.

Unit cell a=4.891 b=4.891 c=4.891 alpha=131.34 beta=131.34 gamma=71.27
Fractional positions:
1 Li 0.000 0.000 0.000
2 Y 0.500 0.500 0.000
3 Ir 0.250 0.750 0.500
4 Ir 0.750 0.250 0.500

Summary:
- raw total energy (eV per atom) = -43.510
- DFT formation energy (meV/atom) = -402

This record from Alexandria describes a crystal of MoC relaxed with PBEsol. The functional is meta-GGA SCAN.

Unit cell a=4.226 b=4.226 c=4.157 alpha=90.00 beta=90.00 gamma=90.00
Fractional positions:
1 Mo 0.000 0.000 0.000
2 Mo 0.000 0.500 0.500
3 Mo 0.500 0.000 0.500
4 C 0.000 0.000 0.500
5 C 0.000 0.500 0.000
6 C 0.500 0.000 0.000

Summary:
- raw total energy (eV per atom) = -21.810
- ΔE to the lowest computed polymorph (meV/atom) = 787
- DFT formation energy (meV/atom) = 682

This record from Alexandria describes a crystal of MgBeRh2 relaxed with PBEsol. The functional is meta-GGA SCAN.

Unit cell a=5.018 b=5.018 c=5.018 alpha=146.51 beta=131.86 gamma=59.92
Fractional positions:
1 Mg 0.000 0.000 0.000
2 Be 0.739 0.239 0.500
3 Rh 0.269 0.769 0.500
4 Rh 0.525 0.525 0.000

Summary:
- raw total energy (eV per atom) = -19.602
- ΔE to the lowest computed polymorph (meV/atom) = 205
- DFT formation energy (meV/atom) = -384

This record from Alexandria describes a crystal of Mo2RuW relaxed with PBEsol. The functional is meta-GGA SCAN.

Unit cell a=4.751 b=2.787 c=4.786 alpha=90.00 beta=108.74 gamma=90.00
Fractional positions:
1 Mo 0.000 0.000 0.000
2 Mo 0.500 0.500 0.000
3 Ru 0.000 0.500 0.500
4 W 0.500 0.000 0.500

Summary:
- raw total energy (eV per atom) = -43.280
- ΔE to the lowest computed polymorph (meV/atom) = 33
- DFT formation energy (meV/atom) = 291

This record from Alexandria describes a crystal of BaTaO3 relaxed with PBEsol. The functional is meta-GGA SCAN.

Unit cell a=4.082 b=4.082 c=4.082 alpha=90.00 beta=90.00 gamma=90.00
Fractional positions:
1 Ba 0.000 0.000 0.000
2 Ta 0.500 0.500 0.500
3 O 0.000 0.500 0.500
4 O 0.500 0.000 0.500
5 O 0.500 0.500 0.000

Summary:
- raw total energy (eV per atom) = -28.058
- formation energy from raw total energies (meV per atom) = -3093

This record from Alexandria describes a crystal of BaLiNO2 relaxed with PBEsol. The functional is meta-GGA SCAN.

Unit cell a=4.064 b=4.064 c=4.024 alpha=90.00 beta=90.00 gamma=90.00
Fractional positions:
1 Ba 0.000 0.000 0.000
2 Li 0.500 0.500 0.500
3 N 0.500 0.500 0.000
4 O 0.000 0.500 0.500
5 O 0.500 0.000 0.500

Summary:
- raw total energy (eV per atom) = -13.445
- formation energy from raw total energies (meV per atom) = -706

This record from Alexandria describes a crystal of TaNbSb2 relaxed with PBEsol. The functional is meta-GGA SCAN.

Unit cell a=4.779 b=4.779 c=4.779 alpha=60.00 beta=60.00 gamma=60.00
Fractional positions:
1 Ta 0.000 0.000 0.000
2 Nb 0.500 0.500 0.500
3 Sb 0.250 0.250 0.250
4 Sb 0.750 0.750 0.750

Summary:
- raw total energy (eV per atom) = -43.529
- formation energy from raw total energies (meV per atom) = 30

This record from Alexandria describes a crystal of Sc2ReP relaxed with PBEsol. The functional is meta-GGA SCAN.

Unit cell a=5.208 b=5.208 c=5.208 alpha=136.91 beta=136.91 gamma=62.58
Fractional positions:
1 Sc 0.000 0.000 0.000
2 Sc 0.750 0.250 0.500
3 Re 0.250 0.750 0.500
4 P 0.500 0.500 0.000

Summary:
- raw total energy (eV per atom) = -27.793
- DFT formation energy (meV/atom) = -301